Computed, not measured: a relaxed structure of Gd2LuZr at the PBE level of DFT.

The space group is Fm-3m (No. 225) and the conventional cell measures 7.7540, 7.7540 and 7.7540 Å, with angles of 90.00, 90.00 and 90.00 degrees. The inequivalent atoms are Gd at (0.2500, 0.2500, 0.2500), Lu at (0.0000, 0.0000, 0.0000) and Zr at (0.0000, 0.0000, 0.5000).

The value obtained for the electronic total energy is -162.24 eV/cell. The calculation puts the energy above the lowest structure with this stoichiometry at 0.079 eV per atom. Its formation energy from the elements is 0.7 eV per formula unit. The value obtained for the volume is 466.20 Å³/cell. The total magnetization comes out at 16.64 μB/f.u.